Entry 1:
First-principles (PBE) data for a relaxed structure of ErBePt, as listed in the Alexandria database.

Unit cell a=4.0037 b=4.0037 c=3.8594 alpha=90.00 beta=90.00 gamma=120.00
With the nearest neighbours (Å) after each atom.
Sites, in units of the cell vectors:
Er 0.0000 0.0000 0.0000  6 Be 3.01, 6 Pt 3.01
Be 0.3333 0.6667 0.5000  3 Pt 2.31
Pt 0.6667 0.3333 0.5000  3 Be 2.31

Summary:
- energy relative to the lowest polymorph listed for this composition (eV per atom) = 0.0107
- final energy (eV/f.u.) = -16.97



Entry 2:
First-principles (PBE) data for a relaxed structure of ErBePt6, as listed in the Alexandria database.

Unit cell a=4.0162 b=4.0162 c=7.8222 alpha=90.00 beta=90.00 gamma=90.00
With the nearest neighbours (Å) after each atom.
Sites, in units of the cell vectors:
Er 0.0000 0.0000 0.0000  12 Pt 2.84-2.93
Be 0.0000 0.0000 0.5000  12 Pt 2.68-2.84
Pt 0.0000 0.5000 0.2723  2 Be 2.68, 8 Pt 2.68-2.93, 2 Er 2.93
Pt 0.0000 0.5000 0.7277  8 Pt 2.68-2.93, 2 Be 2.68, 2 Er 2.93
Pt 0.5000 0.0000 0.2723  2 Be 2.68, 8 Pt 2.68-2.93, 2 Er 2.93
Pt 0.5000 0.0000 0.7277  8 Pt 2.68-2.93, 2 Be 2.68, 2 Er 2.93
Pt 0.5000 0.5000 0.0000  4 Er 2.84, 8 Pt 2.93
Pt 0.5000 0.5000 0.5000  8 Pt 2.68, 4 Be 2.84

Summary:
- energy relative to the lowest polymorph listed for this composition (eV per atom) = 0.0000
- final energy (eV/f.u.) = -49.78



Entry 3:
First-principles (PBE) data for a relaxed structure of Er2BePt9, as listed in the Alexandria database.

Unit cell a=4.0535 b=4.0535 c=11.8926 alpha=90.00 beta=90.00 gamma=90.00
With the nearest neighbours (Å) after each atom.
Sites, in units of the cell vectors:
Er 0.0000 0.0000 0.1747  12 Pt 2.87-2.92
Er 0.0000 0.0000 0.8253  12 Pt 2.87-2.92
Be 0.0000 0.0000 0.5000  12 Pt 2.68-2.87
Pt 0.0000 0.5000 0.0000  8 Pt 2.87-2.91, 4 Er 2.90
Pt 0.0000 0.5000 0.3520  8 Pt 2.68-2.92, 2 Be 2.68, 2 Er 2.92
Pt 0.0000 0.5000 0.6480  8 Pt 2.68-2.92, 2 Be 2.68, 2 Er 2.92
Pt 0.5000 0.0000 0.0000  8 Pt 2.87-2.91, 4 Er 2.90
Pt 0.5000 0.0000 0.3520  8 Pt 2.68-2.92, 2 Be 2.68, 2 Er 2.92
Pt 0.5000 0.0000 0.6480  8 Pt 2.68-2.92, 2 Be 2.68, 2 Er 2.92
Pt 0.5000 0.5000 0.1751  4 Er 2.87, 8 Pt 2.91-2.92
Pt 0.5000 0.5000 0.5000  8 Pt 2.68, 4 Be 2.87
Pt 0.5000 0.5000 0.8249  4 Er 2.87, 8 Pt 2.91-2.92

Summary:
- final energy (eV/f.u.) = -76.64



Entry 4:
First-principles (PBE) data for a relaxed structure of ErBePt6, as listed in the Alexandria database.

Unit cell a=5.4563 b=5.4563 c=5.4563 alpha=107.55 beta=107.55 gamma=107.55
With the nearest neighbours (Å) after each atom.
Sites, in units of the cell vectors:
Er 0.0000 0.0000 0.0000  12 Pt 2.88-3.17, 2 Be 2.98
Be 0.5000 0.5000 0.5000  6 Pt 2.33
Pt 0.2355 0.2355 0.6723  1 Be 2.33
Pt 0.2355 0.6723 0.2355  1 Be 2.33
Pt 0.3277 0.7645 0.7645  1 Be 2.33
Pt 0.6723 0.2355 0.2355  1 Be 2.33
Pt 0.7645 0.3277 0.7645  1 Be 2.33
Pt 0.7645 0.7645 0.3277  1 Be 2.33

Summary:
- energy relative to the lowest polymorph listed for this composition (eV per atom) = 0.1969
- final energy (eV/f.u.) = -48.21



Entry 5:
First-principles (PBE) data for a relaxed structure of ErBePt, as listed in the Alexandria database.

Unit cell a=4.0511 b=4.0511 c=7.4981 alpha=90.00 beta=90.00 gamma=120.00
With the nearest neighbours (Å) after each atom.
Sites, in units of the cell vectors:
Er 0.0000 0.0000 0.0000  6 Be 3.00, 6 Pt 3.00
Er 0.0000 0.0000 0.5000  6 Be 3.00, 6 Pt 3.00
Be 0.3333 0.6667 0.2500  3 Pt 2.34
Be 0.6667 0.3333 0.7500  3 Pt 2.34
Pt 0.3333 0.6667 0.7500  3 Be 2.34
Pt 0.6667 0.3333 0.2500  3 Be 2.34

Summary:
- energy relative to the lowest polymorph listed for this composition (eV per atom) = 0.0081
- final energy (eV/f.u.) = -16.97



Entry 6:
First-principles (PBE) data for a relaxed structure of ErBePt2, as listed in the Alexandria database.

Unit cell a=8.8183 b=8.8183 c=3.9137 alpha=90.00 beta=90.00 gamma=153.45
With the nearest neighbours (Å) after each atom.
Sites, in units of the cell vectors:
Er 0.1422 0.8578 0.0000  8 Pt 2.98-3.17, 4 Be 3.07
Er 0.8578 0.1422 0.0000  8 Pt 2.98-3.17, 4 Be 3.07
Be 0.4290 0.5710 0.5000  5 Pt 2.20-2.36, 1 Be 2.44
Be 0.5710 0.4290 0.5000  5 Pt 2.20-2.36, 1 Be 2.44
Pt 0.0000 0.0000 0.5000  4 Be 2.36
Pt 0.3006 0.6994 0.5000  1 Be 2.20
Pt 0.5000 0.5000 0.0000  4 Be 2.31
Pt 0.6994 0.3006 0.5000  1 Be 2.20

Summary:
- energy relative to the lowest polymorph listed for this composition (eV per atom) = 0.0000
- final energy (eV/f.u.) = -24.57



Entry 7:
First-principles (PBE) data for a relaxed structure of Er2Be4Pt3Rh, as listed in the Alexandria database.

Unit cell a=4.0216 b=4.0216 c=9.2659 alpha=90.00 beta=90.00 gamma=90.00
With the nearest neighbours (Å) after each atom.
Sites, in units of the cell vectors:
Er 0.0000 0.5000 0.2453  2 Rh 3.03, 6 Pt 3.03-3.08, 8 Be 3.06-3.10
Er 0.5000 0.0000 0.7547  2 Rh 3.03, 6 Pt 3.03-3.08, 8 Be 3.06-3.10
Be 0.0000 0.0000 0.5000  4 Pt 2.33
Be 0.0000 0.5000 0.8766  2 Rh 2.31, 3 Pt 2.31-2.32
Be 0.5000 0.0000 0.1234  2 Rh 2.31, 3 Pt 2.31-2.32
Be 0.5000 0.5000 0.5000  4 Pt 2.33
Pt 0.0000 0.0000 0.0000  4 Be 2.31
Pt 0.0000 0.5000 0.6265  5 Be 2.32-2.33
Pt 0.5000 0.0000 0.3735  5 Be 2.32-2.33
Rh 0.5000 0.5000 0.0000  4 Be 2.31

Summary:
- final energy (eV/f.u.) = -58.41



Entry 8:
First-principles (PBE) data for a relaxed structure of ErScBe2Pt5, as listed in the Alexandria database.

Unit cell a=4.0436 b=4.0436 c=8.6278 alpha=90.00 beta=90.00 gamma=90.00
With the nearest neighbours (Å) after each atom.
Sites, in units of the cell vectors:
Er 0.0000 0.0000 0.0000  12 Pt 2.86-2.96
Sc 0.0000 0.0000 0.5000  8 Pt 2.95, 8 Be 3.07
Be 0.5000 0.5000 0.3695  1 Be 2.25, 4 Pt 2.26
Be 0.5000 0.5000 0.6305  1 Be 2.25, 4 Pt 2.26
Pt 0.0000 0.5000 0.2512  2 Be 2.26
Pt 0.0000 0.5000 0.7488  2 Be 2.26
Pt 0.5000 0.0000 0.2512  2 Be 2.26
Pt 0.5000 0.0000 0.7488  2 Be 2.26
Pt 0.5000 0.5000 0.0000  4 Er 2.86, 8 Pt 2.96, 2 Be 3.19

Summary:
- final energy (eV/f.u.) = -57.07



Entry 9:
First-principles (PBE) data for a relaxed structure of Er3BeSi2Pt9, as listed in the Alexandria database.

Unit cell a=6.4255 b=6.4255 c=7.8904 alpha=90.00 beta=90.00 gamma=120.00
With the nearest neighbours (Å) after each atom.
Sites, in units of the cell vectors:
Er 0.0000 0.0000 0.0000  6 Pt 2.85
Er 0.3333 0.6667 0.6756  9 Pt 3.16-3.23
Er 0.6667 0.3333 0.3244  9 Pt 3.16-3.23
Be 0.0000 0.0000 0.5000  6 Pt 2.24
Si 0.3333 0.6667 0.2003  6 Pt 2.26-2.44
Si 0.6667 0.3333 0.7997  6 Pt 2.26-2.44
Pt 0.0000 0.5000 0.0000  2 Si 2.44
Pt 0.1426 0.2853 0.3002  1 Be 2.24, 1 Si 2.26
Pt 0.1426 0.8574 0.3002  1 Be 2.24, 1 Si 2.26
Pt 0.2853 0.1426 0.6998  1 Be 2.24, 1 Si 2.26
Pt 0.5000 0.0000 0.0000  2 Si 2.44
Pt 0.5000 0.5000 0.0000  2 Si 2.44
Pt 0.7147 0.8574 0.3002  1 Be 2.24, 1 Si 2.26
Pt 0.8574 0.1426 0.6998  1 Be 2.24, 1 Si 2.26
Pt 0.8574 0.7147 0.6998  1 Be 2.24, 1 Si 2.26

Summary:
- ΔE_f (raw) (eV/atom) = -0.754
- final energy (eV/f.u.) = -93.94



Entry 10:
First-principles (PBE) data for a relaxed structure of ErBe2SiPt, as listed in the Alexandria database.

Unit cell a=5.6391 b=5.6391 c=5.6391 alpha=140.24 beta=139.40 gamma=58.12
With the nearest neighbours (Å) after each atom.
Sites, in units of the cell vectors:
Er 0.0000 0.0000 0.0000  4 Si 2.96, 8 Be 2.97-3.17, 4 Pt 3.08-3.19
Be 0.3844 0.3844 0.0000  1 Si 2.26, 2 Pt 2.29, 2 Be 2.35
Be 0.7532 0.2532 0.5000  2 Be 2.35, 2 Si 2.36
Si 0.6137 0.6137 0.0000  3 Be 2.26-2.36, 2 Pt 2.42
Pt 0.2582 0.7582 0.5000  2 Be 2.29, 2 Si 2.42

Summary:
- ΔE_f (raw) (eV/atom) = -0.662
- final energy (eV/f.u.) = -26.79



Entry 11:
First-principles (PBE) data for a relaxed structure of ErBeSiPt2, as listed in the Alexandria database.

Unit cell a=6.2529 b=6.2529 c=6.2529 alpha=144.13 beta=144.13 gamma=51.63
With the nearest neighbours (Å) after each atom.
Sites, in units of the cell vectors:
Er 0.0000 0.0000 0.0000  8 Pt 3.06, 4 Be 3.41, 4 Si 3.41
Be 0.7500 0.2500 0.5000  4 Pt 2.40
Si 0.2500 0.7500 0.5000  4 Pt 2.40
Pt 0.3769 0.3769 0.0000  2 Be 2.40, 2 Si 2.40
Pt 0.6231 0.6231 0.0000  2 Be 2.40, 2 Si 2.40

Summary:
- ΔE_f (raw) (eV/atom) = -0.946
- final energy (eV/f.u.) = -30.52



Entry 12:
First-principles (PBE) data for a relaxed structure of Er2BeSi3Pt4, as listed in the Alexandria database.

Unit cell a=4.1153 b=4.1153 c=9.9160 alpha=90.00 beta=90.00 gamma=90.00
With the nearest neighbours (Å) after each atom.
Sites, in units of the cell vectors:
Er 0.0000 0.5000 0.2391  8 Pt 3.12-3.31, 2 Be 3.14, 6 Si 3.14-3.15
Er 0.5000 0.0000 0.7609  8 Pt 3.12-3.31, 2 Be 3.14, 6 Si 3.14-3.15
Be 0.5000 0.5000 0.0000  4 Pt 2.40
Si 0.0000 0.0000 0.0000  4 Pt 2.40
Si 0.0000 0.5000 0.6387  5 Pt 2.34-2.48
Si 0.5000 0.0000 0.3613  5 Pt 2.34-2.48
Pt 0.0000 0.0000 0.5000  4 Si 2.48
Pt 0.0000 0.5000 0.8752  3 Si 2.34-2.40, 2 Be 2.40
Pt 0.5000 0.0000 0.1248  3 Si 2.34-2.40, 2 Be 2.40
Pt 0.5000 0.5000 0.5000  4 Si 2.48

Summary:
- ΔE_f (raw) (eV/atom) = -1.061
- final energy (eV/f.u.) = -63.89



Entry 13:
First-principles (PBE) data for a relaxed structure of ErBe2SiPt4, as listed in the Alexandria database.

Unit cell a=8.9942 b=8.9942 c=8.9942 alpha=25.99 beta=25.99 gamma=25.99
With the nearest neighbours (Å) after each atom.
Sites, in units of the cell vectors:
Er 0.0000 0.0000 0.0000  6 Pt 2.99, 6 Be 3.11
Be 0.2547 0.2547 0.2547  3 Pt 2.34
Be 0.7453 0.7453 0.7453  3 Pt 2.34
Si 0.5000 0.5000 0.5000  8 Pt 2.48
Pt 0.1343 0.1343 0.1343  3 Si 2.48, 3 Be 2.75
Pt 0.4048 0.4048 0.4048  3 Be 2.34, 1 Si 2.48
Pt 0.5952 0.5952 0.5952  3 Be 2.34, 1 Si 2.48
Pt 0.8657 0.8657 0.8657  3 Si 2.48, 3 Be 2.75

Summary:
- ΔE_f (raw) (eV/atom) = -0.804
- final energy (eV/f.u.) = -48.03



Entry 14:
First-principles (PBE) data for a relaxed structure of Er2Be3SiPt4, as listed in the Alexandria database.

Unit cell a=4.0584 b=4.0584 c=9.4967 alpha=90.00 beta=90.00 gamma=90.00
With the nearest neighbours (Å) after each atom.
Sites, in units of the cell vectors:
Er 0.0000 0.5000 0.2481  8 Pt 3.08-3.11, 6 Be 3.11-3.14, 2 Si 3.14
Er 0.5000 0.0000 0.7519  8 Pt 3.08-3.11, 6 Be 3.11-3.14, 2 Si 3.14
Be 0.0000 0.5000 0.8774  5 Pt 2.30-2.34
Be 0.5000 0.0000 0.1226  5 Pt 2.30-2.34
Be 0.5000 0.5000 0.5000  4 Pt 2.40
Si 0.0000 0.0000 0.5000  4 Pt 2.40
Pt 0.0000 0.0000 0.0000  4 Be 2.34
Pt 0.0000 0.5000 0.6352  3 Be 2.30-2.40, 2 Si 2.40
Pt 0.5000 0.0000 0.3648  3 Be 2.30-2.40, 2 Si 2.40
Pt 0.5000 0.5000 0.0000  4 Be 2.34

Summary:
- ΔE_f (raw) (eV/atom) = -0.985
- final energy (eV/f.u.) = -59.74



Entry 15:
First-principles (PBE) data for a relaxed structure of Er2Be3SnPt4, as listed in the Alexandria database.

Unit cell a=4.0449 b=4.0449 c=10.2520 alpha=90.00 beta=90.00 gamma=90.00
With the nearest neighbours (Å) after each atom.
Sites, in units of the cell vectors:
Er 0.0000 0.5000 0.2326  8 Pt 3.05-3.13, 6 Be 3.11-3.41, 2 Sn 3.41
Er 0.5000 0.0000 0.7674  8 Pt 3.05-3.13, 6 Be 3.11-3.41, 2 Sn 3.41
Be 0.0000 0.5000 0.8863  5 Pt 2.26-2.33
Be 0.5000 0.0000 0.1137  5 Pt 2.26-2.33
Be 0.5000 0.5000 0.5000  4 Pt 2.64, 4 Sn 2.86
Sn 0.0000 0.0000 0.5000  4 Pt 2.64, 4 Be 2.86
Pt 0.0000 0.0000 0.0000  4 Be 2.33
Pt 0.0000 0.5000 0.6654  1 Be 2.26
Pt 0.5000 0.0000 0.3346  1 Be 2.26
Pt 0.5000 0.5000 0.0000  4 Be 2.33

Summary:
- final energy (eV/f.u.) = -57.10



Entry 16:
First-principles (PBE) data for a relaxed structure of Er2TiBe3Pt4, as listed in the Alexandria database.

Unit cell a=3.9788 b=3.9788 c=10.2434 alpha=90.00 beta=90.00 gamma=90.00
With the nearest neighbours (Å) after each atom.
Sites, in units of the cell vectors:
Er 0.0000 0.5000 0.2351  8 Pt 3.04-3.12, 6 Be 3.06-3.36, 2 Ti 3.36
Er 0.5000 0.0000 0.7649  8 Pt 3.04-3.12, 6 Be 3.06-3.36, 2 Ti 3.36
Ti 0.0000 0.0000 0.5000  4 Pt 2.53, 4 Be 2.81
Be 0.0000 0.5000 0.8816  5 Pt 2.33-2.35
Be 0.5000 0.0000 0.1184  5 Pt 2.33-2.35
Be 0.5000 0.5000 0.5000  4 Pt 2.53, 4 Ti 2.81
Pt 0.0000 0.0000 0.0000  4 Be 2.33
Pt 0.0000 0.5000 0.6526  3 Be 2.35-2.53, 2 Ti 2.53
Pt 0.5000 0.0000 0.3474  3 Be 2.35-2.53, 2 Ti 2.53
Pt 0.5000 0.5000 0.0000  4 Be 2.33

Summary:
- final energy (eV/f.u.) = -61.45



Entry 17:
First-principles (PBE) data for a relaxed structure of ErTmBePt, as listed in the Alexandria database.

Unit cell a=4.8470 b=4.8470 c=4.8470 alpha=60.00 beta=60.00 gamma=60.00
With the nearest neighbours (Å) after each atom.
Sites, in units of the cell vectors:
Er 0.0000 0.0000 0.0000  4 Be 2.97, 4 Pt 2.97
Tm 0.5000 0.5000 0.5000  4 Be 2.97, 4 Pt 2.97
Be 0.7500 0.7500 0.7500  4 Tm 2.97, 4 Er 2.97
Pt 0.2500 0.2500 0.2500  4 Er 2.97, 4 Tm 2.97

Summary:
- final energy (eV/f.u.) = -21.18



Entry 18:
First-principles (PBE) data for a relaxed structure of Er2Be4ZnPt3, as listed in the Alexandria database.

Unit cell a=3.9439 b=3.9439 c=9.7357 alpha=90.00 beta=90.00 gamma=90.00
With the nearest neighbours (Å) after each atom.
Sites, in units of the cell vectors:
Er 0.0000 0.5000 0.2465  6 Pt 3.02-3.16, 8 Be 3.02-3.11, 2 Zn 3.16
Er 0.5000 0.0000 0.7535  6 Pt 3.02-3.16, 8 Be 3.02-3.11, 2 Zn 3.16
Be 0.0000 0.0000 0.0000  4 Pt 2.33
Be 0.0000 0.5000 0.6333  3 Pt 2.33-2.36, 2 Zn 2.36
Be 0.5000 0.0000 0.3667  3 Pt 2.33-2.36, 2 Zn 2.36
Be 0.5000 0.5000 0.0000  4 Pt 2.33
Zn 0.0000 0.0000 0.5000  4 Be 2.36
Pt 0.0000 0.5000 0.8726  5 Be 2.33
Pt 0.5000 0.0000 0.1274  5 Be 2.33
Pt 0.5000 0.5000 0.5000  4 Be 2.36

Summary:
- final energy (eV/f.u.) = -50.80



Entry 19:
First-principles (PBE) data for a relaxed structure of Er2BeZnPt2, as listed in the Alexandria database.

Unit cell a=7.9164 b=7.9164 c=7.9164 alpha=137.19 beta=61.53 gamma=137.99
With the nearest neighbours (Å) after each atom.
Sites, in units of the cell vectors:
Er 0.1691 0.2355 0.4046  5 Pt 2.88-3.09, 2 Zn 3.03, 2 Be 3.11
Er 0.3309 0.7355 0.0663  5 Pt 2.88-3.09, 2 Zn 3.03, 2 Be 3.11
Er 0.6691 0.2645 0.9337  5 Pt 2.88-3.09, 2 Zn 3.03, 2 Be 3.11
Er 0.8309 0.7645 0.5954  5 Pt 2.88-3.09, 2 Zn 3.03, 2 Be 3.11
Be 0.2500 0.7500 0.5000  4 Pt 2.44
Be 0.7500 0.2500 0.5000  4 Pt 2.44
Zn 0.2500 0.2500 0.0000  4 Pt 2.65, 2 Zn 2.84, 2 Be 2.89
Zn 0.7500 0.7500 0.0000  4 Pt 2.65, 2 Zn 2.84, 2 Be 2.89
Pt 0.1128 0.7168 0.8296  2 Be 2.44, 2 Zn 2.65
Pt 0.3872 0.2168 0.6039  2 Be 2.44, 2 Zn 2.65
Pt 0.6128 0.7832 0.3961  2 Be 2.44, 2 Zn 2.65
Pt 0.8872 0.2832 0.1704  2 Be 2.44, 2 Zn 2.65

Summary:
- final energy (eV/f.u.) = -31.55



Entry 20:
First-principles (PBE) data for a relaxed structure of ErPuBe4, as listed in the Alexandria database.

Unit cell a=4.9598 b=4.9598 c=4.9598 alpha=60.00 beta=60.00 gamma=60.00
With the nearest neighbours (Å) after each atom.
Sites, in units of the cell vectors:
Er 0.0000 0.0000 0.0000  12 Be 2.90, 4 Pu 3.04
Pu 0.7500 0.7500 0.7500  12 Be 2.91, 4 Er 3.04
Be 0.3733 0.3733 0.3733  6 Be 2.45-2.51
Be 0.3733 0.3733 0.8801  6 Be 2.45-2.51
Be 0.3733 0.8801 0.3733  6 Be 2.45-2.51
Be 0.8801 0.3733 0.3733  6 Be 2.45-2.51

Summary:
- final energy (eV/f.u.) = -32.98



| no. | mass density (Mg/m³) |
| --- | --- |
| 1 | 11.51 |
| 2 | 17.73 |
| 3 | 17.84 |
| 4 | 16.79 |
| 5 | 11.57 |
| 6 | 13.83 |
| 7 | 11.73 |
| 8 | 14.19 |
| 9 | 13.67 |
| 10 | 9.17 |
| 11 | 11.83 |
| 12 | 11.95 |
| 13 | 13.41 |
| 14 | 12.42 |
| 15 | 12.48 |
| 16 | 12.18 |
| 17 | 11.14 |
| 18 | 11.20 |
| 19 | 11.90 |
| 20 | 8.61 |